Entry 1:
{
  "formula": "Sr4Mg",
  "functional": "PBE-GGA",
  "state": "optimized geometry",
  "magmom_total_mub_per_cell": 0.0,
  "spacegroup": "I4/mmm",
  "delta_e_f_ev_per_atom": -0.017,
  "e_above_lowest_polymorph_mev_per_atom": 0.0,
  "lattice_angstrom": [[4.2094, 0.0000, 0.0000], [0.0000, 4.2094, 0.0000], [0.0000, 0.0000, 26.9048]],
  "species": ["Sr", "Sr", "Sr", "Sr", "Sr", "Sr", "Sr", "Sr", "Mg", "Mg"],
  "fractional_positions": [[0.0000, 0.0000, 0.0767], [0.0000, 0.0000, 0.3079], [0.0000, 0.0000, 0.6921], [0.0000, 0.0000, 0.9233], [0.5000, 0.5000, 0.1921], [0.5000, 0.5000, 0.4233], [0.5000, 0.5000, 0.5767], [0.5000, 0.5000, 0.8079], [0.0000, 0.0000, 0.5000], [0.5000, 0.5000, 0.0000]]
}

=====

Entry 2:
{
  "formula": "Sr6Mg23",
  "functional": "PBE-GGA",
  "state": "optimized geometry",
  "magmom_total_mub_per_cell": 0.6,
  "spacegroup": "Fm-3m",
  "delta_e_f_ev_per_atom": -0.077,
  "lattice_angstrom": [[0.0000, 7.4581, 7.4581], [7.4581, 0.0000, 7.4581], [7.4581, 7.4581, 0.0000]],
  "species": ["Sr", "Sr", "Sr", "Sr", "Sr", "Sr", "Mg", "Mg", "Mg", "Mg", "Mg", "Mg", "Mg", "Mg", "Mg", "Mg", "Mg", "Mg", "Mg", "Mg", "Mg", "Mg", "Mg", "Mg", "Mg", "Mg", "Mg", "Mg", "Mg"],
  "fractional_positions": [[0.2080, 0.2080, 0.7920], [0.2080, 0.7920, 0.2080], [0.2080, 0.7920, 0.7920], [0.7920, 0.2080, 0.2080], [0.7920, 0.2080, 0.7920], [0.7920, 0.7920, 0.2080], [0.0000, 0.0000, 0.5000], [0.0000, 0.5000, 0.0000], [0.0000, 0.5000, 0.5000], [0.1347, 0.6218, 0.6218], [0.1743, 0.1743, 0.1743], [0.1743, 0.1743, 0.4771], [0.1743, 0.4771, 0.1743], [0.3782, 0.3782, 0.3782], [0.3782, 0.3782, 0.8653], [0.3782, 0.8653, 0.3782], [0.4771, 0.1743, 0.1743], [0.5000, 0.0000, 0.0000], [0.5000, 0.0000, 0.5000], [0.5000, 0.5000, 0.0000], [0.5000, 0.5000, 0.5000], [0.5229, 0.8257, 0.8257], [0.6218, 0.1347, 0.6218], [0.6218, 0.6218, 0.1347], [0.6218, 0.6218, 0.6218], [0.8257, 0.5229, 0.8257], [0.8257, 0.8257, 0.5229], [0.8257, 0.8257, 0.8257], [0.8653, 0.3782, 0.3782]]
}